Entry 1:
The following is a DFT calculation (PBE-GGA) of a geometry-optimized LaTb4Pm2Tm structure.

Lattice parameters (Å, degrees): 5.0977 5.0840 11.3727 63.44 90.00 90.00
Fractional coordinates of all 8 atoms:
1 Tb 0.0000 0.2455 0.2547
2 Tm 0.0000 0.5000 0.5000
3 Tb 0.5000 0.7457 0.2544
4 Pm 0.0000 0.0000 0.0000
5 La 0.5000 0.4999 0.0001
6 Tb 0.5000 0.2543 0.7456
7 Pm 0.5000 0.0000 0.5000
8 Tb 0.0000 0.7546 0.7453

## Properties
The value obtained for the volume is 263.6 Å³ per cell. As for the density of states at the Fermi level: 1.417 states/eV/atom.

=====

Entry 2:
The following is a DFT calculation (PBE-GGA) of a geometry-optimized La2TbPmTm5 structure.

Lattice parameters (Å, degrees): 8.5973 8.5973 9.9349 115.64 115.64 90.00
Fractional coordinates of all 18 atoms:
1 La 0.6180 0.1180 0.0000
2 Pm 0.2500 0.7500 0.5000
3 Tm 0.0000 0.0000 0.0000
4 Tm 0.5000 0.5000 0.0000
5 Tm 0.1440 0.0727 0.7167
6 Tm 0.4273 0.3560 0.2833
7 Tm 0.3560 0.8560 0.2833
8 Tm 0.9273 0.4273 0.2833
9 Tm 0.0727 0.5727 0.7167
10 La 0.8820 0.6180 0.0000
11 Tm 0.6440 0.1440 0.7167
12 La 0.3820 0.8820 0.0000
13 Tb 0.7500 0.7500 0.5000
14 Tm 0.5727 0.6440 0.7167
15 Tm 0.8560 0.9273 0.2833
16 Pm 0.7500 0.2500 0.5000
17 La 0.1180 0.3820 0.0000
18 Tb 0.2500 0.2500 0.5000

## Properties
The value obtained for the volume is 580.8 Å³ per cell. As for the density of states at the Fermi level: 1.272 states/eV/atom.

=====

Entry 3:
The following is a DFT calculation (PBE-GGA) of a geometry-optimized La2Tb2PmTm2 structure.

Lattice parameters (Å, degrees): 5.1000 6.2490 8.0857 97.51 90.00 114.08
Fractional coordinates of all 7 atoms:
1 Tm 0.7160 0.4320 0.1380
2 Pm 0.0000 0.0000 0.0000
3 Tb 0.5708 0.1417 0.7198
4 Tb 0.4292 0.8583 0.2802
5 La 0.8574 0.7147 0.5721
6 La 0.1426 0.2853 0.4279
7 Tm 0.2840 0.5680 0.8620

## Properties
The value obtained for the volume is 232.8 Å³ per cell. As for the density of states at the Fermi level: 1.620 states/eV/atom.

=====

Entry 4:
The following is a DFT calculation (PBE-GGA) of a geometry-optimized LaTbPm3Tm structure.

Lattice parameters (Å, degrees): 5.1504 8.0855 10.8633 116.36 90.00 90.00
Fractional coordinates of all 12 atoms:
1 La 0.2500 0.1216 0.2913
2 Tm 0.2500 0.6209 0.1234
3 Pm 0.7500 0.8697 0.0410
4 Tb 0.7500 0.8722 0.3729
5 Pm 0.7500 0.3740 0.5442
6 Tb 0.2500 0.1278 0.6271
7 Tm 0.7500 0.3791 0.8766
8 Pm 0.2500 0.6260 0.4558
9 Pm 0.2500 0.1303 0.9590
10 Pm 0.2500 0.6227 0.7932
11 Pm 0.7500 0.3773 0.2068
12 La 0.7500 0.8784 0.7087

## Properties
The value obtained for the volume is 405.3 Å³ per cell. As for the density of states at the Fermi level: 1.577 states/eV/atom.

=====

Entry 5:
The following is a DFT calculation (PBE-GGA) of a geometry-optimized La4TbPm2Tm structure.

Lattice parameters (Å, degrees): 5.2516 5.2152 11.4215 62.78 90.00 90.00
Fractional coordinates of all 8 atoms:
1 Pm 0.5000 0.0000 0.5000
2 La 0.5000 0.7498 0.2508
3 Tb 0.5000 0.5000 0.0000
4 La 0.0000 0.7511 0.7488
5 La 0.0000 0.2489 0.2512
6 La 0.5000 0.2502 0.7492
7 Tm 0.0000 0.5000 0.5000
8 Pm 0.0000 0.0000 0.0000

## Properties
The value obtained for the volume is 278.2 Å³ per cell. As for the density of states at the Fermi level: 1.440 states/eV/atom.

=====

Entry 6:
The following is a DFT calculation (PBE-GGA) of a geometry-optimized La4TbPmTm2 structure.

Lattice parameters (Å, degrees): 5.2403 5.2125 11.2958 62.51 90.00 90.00
Fractional coordinates of all 8 atoms:
1 Tb 0.5000 0.5000 0.0000
2 Tm 0.5000 0.0000 0.5000
3 La 0.5000 0.2493 0.7513
4 Pm 0.0000 0.5000 0.5000
5 Tm 0.0000 0.0000 0.0000
6 La 0.0000 0.7481 0.7521
7 La 0.5000 0.7507 0.2487
8 La 0.0000 0.2519 0.2479

## Properties
The value obtained for the volume is 273.7 Å³ per cell. As for the density of states at the Fermi level: 1.393 states/eV/atom.

=====

Entry 7:
The following is a DFT calculation (PBE-GGA) of a geometry-optimized LaTb6Pm3Tm2 structure.

Lattice parameters (Å, degrees): 6.2126 6.2126 11.9044 94.98 94.98 119.98
Fractional coordinates of all 12 atoms:
1 Pm 0.1671 0.8329 0.5000
2 Pm 0.5000 0.5000 0.5000
3 Tm 0.6667 0.3333 0.0000
4 Tb 0.5815 0.9163 0.7513
5 Tb 0.4185 0.0837 0.2487
6 Tb 0.2514 0.2514 0.7512
7 Tb 0.0837 0.4185 0.2487
8 La 0.0000 0.0000 0.0000
9 Tb 0.7486 0.7486 0.2488
10 Tb 0.9163 0.5815 0.7513
11 Pm 0.8329 0.1671 0.5000
12 Tm 0.3333 0.6667 0.0000

## Properties
The value obtained for the volume is 392.0 Å³ per cell. As for the density of states at the Fermi level: 1.322 states/eV/atom.

=====

Entry 8:
The following is a DFT calculation (PBE-GGA) of a geometry-optimized La6TbPm2Tm structure.

Lattice parameters (Å, degrees): 9.2859 9.1204 9.1204 114.29 90.49 90.49
Fractional coordinates of all 20 atoms:
1 La 0.3191 0.0279 0.4643
2 La 0.0904 0.0758 0.7760
3 Tm 0.7500 0.5709 0.4291
4 La 0.4035 0.5683 0.2829
5 La 0.5904 0.7760 0.0758
6 La 0.5965 0.4317 0.7171
7 Tm 0.2500 0.4291 0.5709
8 La 0.0965 0.7171 0.4317
9 La 0.1809 0.5357 0.9721
10 La 0.8191 0.4643 0.0279
11 Pm 0.4366 0.7947 0.7056
12 La 0.9096 0.9242 0.2240
13 La 0.9035 0.2829 0.5683
14 Pm 0.0634 0.2944 0.2053
15 La 0.6809 0.9721 0.5357
16 Tb 0.7500 0.0652 0.9348
17 Pm 0.5634 0.2053 0.2944
18 La 0.4096 0.2240 0.9242
19 Pm 0.9366 0.7056 0.7947
20 Tb 0.2500 0.9348 0.0652

## Properties
The value obtained for the volume is 703.9 Å³ per cell. As for the density of states at the Fermi level: 1.208 states/eV/atom.

=====

Entry 9:
The following is a DFT calculation (PBE-GGA) of a geometry-optimized La2Tb4PmTm structure.

Lattice parameters (Å, degrees): 9.5690 9.5686 11.9095 128.48 128.48 88.30
Fractional coordinates of all 16 atoms:
1 La 0.0000 0.0000 0.5000
2 Tb 0.2496 0.2497 0.4931
3 Tb 0.7444 0.2585 0.5015
4 Pm 0.0000 0.5000 0.0000
5 Tb 0.2415 0.7556 0.9985
6 Tm 0.0000 0.0000 0.0000
7 La 0.5000 0.5000 0.0000
8 Tm 0.5000 0.5000 0.5000
9 Tb 0.7585 0.2444 0.0015
10 Tb 0.2503 0.2504 0.0069
11 La 0.5000 0.0000 0.4999
12 Pm 0.0000 0.5000 0.5001
13 Tb 0.2556 0.7415 0.4985
14 La 0.5000 0.0000 0.0001
15 Tb 0.7497 0.7496 0.9931
16 Tb 0.7504 0.7503 0.5069

## Properties
The value obtained for the volume is 542.6 Å³ per cell. As for the density of states at the Fermi level: 2.442 states/eV/atom.

=====

Entry 10:
The following is a DFT calculation (PBE-GGA) of a geometry-optimized LaTb2PmTm structure.

Lattice parameters (Å, degrees): 7.2238 8.4639 7.1710 126.17 90.00 90.00
Fractional coordinates of all 10 atoms:
1 Tb 0.5000 0.3121 0.0000
2 Tb 0.5000 0.6879 0.0000
3 Tm 0.2500 0.7194 0.4389
4 Pm 0.7500 0.9974 0.9949
5 Pm 0.2500 0.0026 0.0051
6 Tm 0.7500 0.2806 0.5611
7 Tb 0.0000 0.6879 0.0000
8 La 0.2500 0.2659 0.5319
9 La 0.7500 0.7341 0.4681
10 Tb 0.0000 0.3121 0.0000

## Properties
The value obtained for the volume is 354.0 Å³ per cell. As for the density of states at the Fermi level: 1.740 states/eV/atom.

=====

Entry 11:
The following is a DFT calculation (PBE-GGA) of a geometry-optimized LaTbPm4Tm2 structure.

Lattice parameters (Å, degrees): 5.1227 5.0959 11.4143 63.46 90.00 90.00
Fractional coordinates of all 8 atoms:
1 Tb 0.5000 0.5000 0.0000
2 Tm 0.5000 0.0000 0.5000
3 Tm 0.0000 0.0000 0.0000
4 Pm 0.0000 0.7455 0.7542
5 Pm 0.5000 0.7534 0.2466
6 Pm 0.5000 0.2466 0.7534
7 Pm 0.0000 0.2545 0.2458
8 La 0.0000 0.5000 0.5000

## Properties
The value obtained for the volume is 266.6 Å³ per cell. As for the density of states at the Fermi level: 1.499 states/eV/atom.

=====

Entry 12:
The following is a DFT calculation (PBE-GGA) of a geometry-optimized LaTbPmTm structure.

Lattice parameters (Å, degrees): 3.8110 5.9096 6.9401 115.20 73.65 90.00
Fractional coordinates of all 4 atoms:
1 La 0.3818 0.1376 0.2753
2 Pm 0.6881 0.4038 0.8076
3 Tb 0.2028 0.8796 0.7591
4 Tm 0.9132 0.6436 0.2873

## Properties
The value obtained for the volume is 134.4 Å³ per cell. As for the density of states at the Fermi level: 1.716 states/eV/atom.

=====

Mass density values (in g/cm3) by entry order: 7.770; 8.156; 7.692; 7.388; 7.005; 7.265; 7.903; 6.847; 7.512; 7.231; 7.573; 7.558.
Magnetization values (in μB/cell) by entry order: 0.00; 0.00; 0.00; 0.00; 0.00; 0.00; 0.00; 0.00; 0.00; 0.00; 0.00; 0.00.
Formation energy from the elements values (in eV/atom) by entry order: 0.02; 0.25; 0.03; 0.03; 0.02; 0.02; 0.02; 0.11; 0.39; 0.37; 0.02; 0.10.